Mo2Pt2Rh5 | PBE | relaxed

Structure (POSCAR):
```
Mo2Pt2Rh5
1.0
-0.9236 -0.8208 -3.6739
1.1375 -7.5049 3.4355
-4.7050 6.8451 -0.3464
Mo Pt Rh
2 2 5
Direct
0.3424 0.6847 0.5634
0.6576 0.3153 0.4366
0.3287 0.6574 0.2182
0.6713 0.3426 0.7818
0.3326 0.6651 0.8706
0.6674 0.3349 0.1294
0.0045 0.0090 0.3375
0.9955 0.9910 0.6625
0.0000 0.0000 0.0000
```

Output
Distance to the lowest polymorph of the same formula ... 0.000 eV/atom
SG ... No. 12
Total DFT energy (no corrections) ... -8.0253 eV per atom
DFT formation energy ... -192 meV/atom
M_tot ... 0.000 Bohr magnetons per cell
Mass density ... 13.65 g cm⁻³

=====

MoPtRh3 | PBE | relaxed

Structure (POSCAR):
```
MoPtRh3
1.0
4.6931 0.0000 0.0000
0.0000 4.6931 0.0000
0.0000 0.0000 4.6931
Mo Rh Pt
1 3 1
Direct
0.5000 0.5000 0.5000
0.0000 0.5000 0.0000
0.0000 0.0000 0.5000
0.5000 0.0000 0.0000
0.0000 0.0000 0.0000
```

Output
Distance to the lowest polymorph of the same formula ... 1.818 eV/atom
SG ... No. 221
Total DFT energy (no corrections) ... -5.8588 eV per atom
DFT formation energy ... 1926 meV/atom
M_tot ... 0.002 Bohr magnetons per cell
Mass density ... 9.63 g cm⁻³

=====

Mo2PtRh | PBE | relaxed

Structure (POSCAR):
```
Mo2PtRh
1.0
-0.3193 -4.5872 -1.5991
2.1562 -3.6177 -2.4422
2.1228 -2.2742 3.6179
Mo Pt Rh
2 1 1
Direct
0.9985 0.9985 0.0042
0.5015 0.5015 0.4958
0.7500 0.7500 0.7500
0.2500 0.2500 0.2500
```

Output
Distance to the lowest polymorph of the same formula ... 0.203 eV/atom
SG ... No. 12
Total DFT energy (no corrections) ... -8.8519 eV per atom
DFT formation energy ... -88 meV/atom
M_tot ... 0.000 Bohr magnetons per cell
Mass density ... 13.32 g cm⁻³

=====

Mo2PtRh6 | PBE | relaxed

Structure (POSCAR):
```
Mo2PtRh6
1.0
-1.7443 -0.0343 3.4942
-3.4920 -4.9605 0.3907
3.6452 -3.0218 3.9726
Mo Pt Rh
2 1 6
Direct
0.3360 0.5000 0.8281
0.6640 0.5000 0.1719
0.0000 0.5000 0.5000
0.9919 0.1769 0.8392
0.3312 0.1769 0.1608
0.6688 0.8231 0.8392
0.3324 0.8352 0.5000
0.6676 0.1648 0.5000
0.0081 0.8231 0.1608
```

Output
Distance to the lowest polymorph of the same formula ... 0.012 eV/atom
SG ... No. 69
Total DFT energy (no corrections) ... -8.1552 eV per atom
DFT formation energy ... -176 meV/atom
M_tot ... 0.000 Bohr magnetons per cell
Mass density ... 12.65 g cm⁻³

=====

Mo4PtRh | PBE | relaxed

Structure (POSCAR):
```
Mo4PtRh
1.0
-0.6499 -3.7439 3.4771
-3.4012 -3.7671 -0.8770
1.6484 -4.7728 -1.0160
Mo Pt Rh
4 1 1
Direct
0.8753 0.3749 0.3749
0.3749 0.3749 0.8753
0.3749 0.8753 0.3749
0.3749 0.3749 0.3749
0.7500 0.7500 0.7500
0.0000 0.0000 0.0000
```

Output
SG ... No. 216
Total DFT energy (no corrections) ... -9.2831 eV per atom
DFT formation energy ... 170 meV/atom
M_tot ... 0.000 Bohr magnetons per cell
Mass density ... 11.72 g cm⁻³

=====

MoPt2Rh | PBE | relaxed

Structure (POSCAR):
```
MoPt2Rh
1.0
4.8654 -0.0124 -0.0059
1.7753 4.5299 0.0059
-3.3166 -2.2642 2.7469
Mo Rh Pt
1 1 2
Direct
0.2500 0.7500 0.5000
0.7500 0.2500 0.5000
0.0000 0.0000 0.0000
0.5000 0.5000 0.0000
```

Output
Distance to the lowest polymorph of the same formula ... 0.018 eV/atom
SG ... No. 139
Total DFT energy (no corrections) ... -7.8162 eV per atom
DFT formation energy ... -250 meV/atom
M_tot ... 0.002 Bohr magnetons per cell
Mass density ... 16.14 g cm⁻³